This record from Alexandria via LeMat-Bulk describes a relaxed structure of PuMnSbO6. The functional is PBE with a Hubbard U.

Lattice parameters (Å, degrees): 5.476 5.476 9.271 90.00 90.00 120.00
Fractional coordinates of all 18 atoms:
1 Pu 0.333 0.667 0.250
2 Pu 0.667 0.333 0.750
3 Mn 0.000 0.000 0.000
4 Mn 0.000 0.000 0.500
5 Sb 0.333 0.667 0.750
6 Sb 0.667 0.333 0.250
7 O 0.018 0.356 0.868
8 O 0.018 0.662 0.632
9 O 0.338 0.356 0.632
10 O 0.338 0.982 0.868
11 O 0.356 0.018 0.368
12 O 0.356 0.338 0.132
13 O 0.644 0.662 0.868
14 O 0.644 0.982 0.632
15 O 0.662 0.018 0.132
16 O 0.662 0.644 0.368
17 O 0.982 0.338 0.368
18 O 0.982 0.644 0.132

Computed properties:
E, eV/atom: -8.084
Crystal system: trigonal